SCAN DyAgW2O8, single point on PBEsol structure; DOS at the Fermi energy = 0.000 states/eV/cell; uncorrected formation energy = -2431.3 meV per atom
1.0
7.158 -0.024 -0.032
-2.972 6.643 -0.027
-2.972 -1.941 6.353
W O Dy Ag
4 16 2 2
direct
0.500 0.835 0.165
0.975 0.210 0.210
0.500 0.165 0.835
0.025 0.790 0.790
0.648 0.217 0.684
0.759 0.351 0.103
0.908 0.698 0.961
0.352 0.316 0.783
0.759 0.103 0.351
0.908 0.961 0.698
0.648 0.684 0.217
0.339 0.023 0.023
0.241 0.649 0.897
0.241 0.897 0.649
0.352 0.783 0.316
0.859 0.554 0.554
0.092 0.302 0.039
0.092 0.039 0.302
0.661 0.977 0.977
0.141 0.446 0.446
0.000 0.693 0.307
0.000 0.307 0.693
0.480 0.314 0.314
0.520 0.686 0.686